Record 1
The following is a PBE calculation of a geometry-optimized SrAc3Pm structure, from Alexandria.

Unit cell a=5.6580 b=12.4122 c=8.8386 alpha=134.94 beta=90.00 gamma=90.00
Atoms (fractional coordinates):
Ac  0.7500  0.4398  0.5934
Ac  0.2500  0.1486  0.2024
Ac  0.2500  0.3369  0.7814
Ac  0.7500  0.8514  0.7976
Ac  0.7500  0.6631  0.2186
Ac  0.2500  0.5602  0.4066
Pm  0.7500  0.0526  0.4027
Pm  0.2500  0.9474  0.5973
Sr  0.2500  0.7535  0.0111
Sr  0.7500  0.2465  0.9889

Results
SG: P2_1/m
electronic total energy: -36.70 eV/cell

=====

Record 2
The following is a PBE calculation of a geometry-optimized SrAc2Pm structure, from Alexandria.

Unit cell a=3.9542 b=3.9542 c=13.1509 alpha=81.35 beta=81.35 gamma=60.00
Atoms (fractional coordinates):
Ac  0.2438  0.2438  0.2686
Ac  0.0892  0.0892  0.7325
Pm  0.4998  0.4998  0.5005
Sr  0.6672  0.6672  0.9984

Results
SG: R3m
electronic total energy: -14.43 eV/cell
offset from the most stable computed form: 4 meV per atom

=====

Record 3
The following is a PBE calculation of a geometry-optimized Sr2AcPm structure, from Alexandria.

Unit cell a=3.8702 b=3.8702 c=14.2527 alpha=82.20 beta=82.20 gamma=60.00
Atoms (fractional coordinates):
Sr  0.9139  0.9139  0.2583
Sr  0.0861  0.0861  0.7417
Ac  0.5000  0.5000  0.5000
Pm  0.0000  0.0000  0.0000

Results
SG: R-3m
electronic total energy: -11.12 eV/cell
offset from the most stable computed form: 108 meV per atom

=====

Record 4
The following is a PBE calculation of a geometry-optimized SrAc2Pm structure, from Alexandria.

Unit cell a=6.2713 b=6.2713 c=6.2713 alpha=60.00 beta=60.00 gamma=60.00
Atoms (fractional coordinates):
Ac  0.2500  0.2500  0.2500
Ac  0.7500  0.7500  0.7500
Pm  0.0000  0.0000  0.0000
Sr  0.5000  0.5000  0.5000

Results
SG: Fm-3m
electronic total energy: -14.06 eV/cell
offset from the most stable computed form: 96 meV per atom

=====

Record 5
The following is a PBE calculation of a geometry-optimized SrAcPm structure, from Alexandria.

Unit cell a=3.9066 b=6.2408 c=10.8965 alpha=90.00 beta=100.33 gamma=90.00
Atoms (fractional coordinates):
Sr  0.2125  0.7500  0.4250
Sr  0.7875  0.2500  0.5750
Pm  0.5469  0.7500  0.0937
Pm  0.4531  0.2500  0.9063
Ac  0.1029  0.2500  0.2058
Ac  0.8971  0.7500  0.7942

Results
SG: Cmcm
electronic total energy: -20.60 eV/cell
offset from the most stable computed form: 9 meV per atom

=====

Record 6
The following is a PBE calculation of a geometry-optimized SrAcPm4 structure, from Alexandria.

Unit cell a=6.9881 b=6.9881 c=6.9881 alpha=60.00 beta=60.00 gamma=60.00
Atoms (fractional coordinates):
Pm  0.6229  0.6229  0.1313
Pm  0.1313  0.6229  0.6229
Pm  0.6229  0.6229  0.6229
Pm  0.6229  0.1313  0.6229
Ac  0.2500  0.2500  0.2500
Sr  0.0000  0.0000  0.0000

Results
SG: F-43m
electronic total energy: -23.61 eV/cell

=====

Question: Which of these has the lowest electronic total energy?
Answer: SrAc3Pm

=====

Question: Among the records above, which one has the highest electronic total energy?
Answer: Sr2AcPm

=====

Question: What is the formula in the sixth record?
Answer: SrAcPm4

=====

Question: Look up the electronic total energy of the fourth one.
Answer: -14.06 eV/cell